Tm6Al43Cr4 (PBEsol, relaxed); volume = 16.52 A^3/atom; space group = P6_3/mcm, No. 193; DOS at the Fermi energy = 24.944 states/eV/f.u.; DFT formation energy = -0.2577 eV per atom; calculated total energy = -4.90 eV/atom; mass density = 4.5 Mg/m³; total moment = 0.6 μB per formula unit
1.0
10.775 0.000 0.000
-5.388 9.332 0.000
0.000 0.000 17.417
Al Tm Cr
86 12 8
direct
0.247 0.753 0.500
0.844 0.000 0.384
0.158 0.766 0.665
0.667 0.333 0.374
0.749 0.749 0.030
0.247 0.494 0.500
0.667 0.333 0.126
0.333 0.667 0.874
0.000 0.251 0.030
0.506 0.753 0.000
0.454 0.598 0.750
0.000 0.854 0.750
0.156 0.156 0.384
0.158 0.391 0.335
0.146 0.000 0.250
0.145 0.546 0.750
0.156 0.000 0.616
0.000 0.251 0.470
0.234 0.842 0.165
0.753 0.506 0.500
0.766 0.158 0.665
0.000 0.156 0.884
0.854 0.854 0.250
0.506 0.753 0.500
0.609 0.842 0.665
0.598 0.454 0.750
0.753 0.506 0.000
0.145 0.598 0.250
0.667 0.333 0.874
0.333 0.667 0.626
0.842 0.234 0.335
0.000 0.156 0.616
0.391 0.158 0.335
0.842 0.609 0.835
0.855 0.402 0.750
0.251 0.251 0.530
0.842 0.234 0.165
0.156 0.000 0.884
0.146 0.146 0.750
0.000 0.749 0.970
0.402 0.855 0.750
0.234 0.391 0.835
0.247 0.494 0.000
0.494 0.247 0.500
0.333 0.667 0.374
0.854 0.000 0.750
0.000 0.844 0.116
0.546 0.145 0.750
0.454 0.855 0.250
0.251 0.000 0.470
0.000 0.749 0.530
0.842 0.609 0.665
0.234 0.391 0.665
0.251 0.000 0.030
0.251 0.251 0.970
0.391 0.234 0.665
0.609 0.766 0.165
0.402 0.546 0.250
0.609 0.842 0.835
0.333 0.667 0.126
0.766 0.609 0.165
0.667 0.333 0.626
0.000 0.844 0.384
0.609 0.766 0.335
0.749 0.000 0.970
0.158 0.766 0.835
0.855 0.454 0.250
0.753 0.247 0.500
0.391 0.158 0.165
0.753 0.247 0.000
0.000 0.146 0.250
0.844 0.000 0.116
0.598 0.145 0.250
0.844 0.844 0.884
0.766 0.609 0.335
0.749 0.000 0.530
0.494 0.247 0.000
0.844 0.844 0.616
0.156 0.156 0.116
0.234 0.842 0.335
0.247 0.753 0.000
0.158 0.391 0.165
0.749 0.749 0.470
0.546 0.402 0.250
0.391 0.234 0.835
0.766 0.158 0.835
0.000 0.531 0.095
0.531 0.531 0.905
0.469 0.469 0.095
0.000 0.531 0.405
0.531 0.000 0.405
0.000 0.469 0.595
0.000 0.469 0.905
0.469 0.000 0.595
0.469 0.000 0.905
0.531 0.000 0.095
0.469 0.469 0.405
0.531 0.531 0.595
0.732 0.000 0.250
0.000 0.268 0.750
0.000 0.000 0.000
0.000 0.000 0.500
0.732 0.732 0.750
0.268 0.268 0.250
0.000 0.732 0.250
0.268 0.000 0.750


Sr2Ti6N2O11 (PBEsol, relaxed); volume = 12.39 A^3/atom; space group = Cm, No. 8; DOS at the Fermi energy = 0.000 states/eV/f.u.; calculated total energy = -8.92 eV/atom; mass density = 4.3 Mg/m³; total moment = 0.0 μB per formula unit; formation energy from raw total energies = -2.808 eV per atom
1.0
-3.625 -0.777 -0.763
3.426 -7.003 0.246
-2.069 0.893 8.920
Ti O N Sr
6 11 2 2
direct
0.832 0.663 0.563
0.163 0.327 0.440
0.225 0.451 0.761
0.764 0.529 0.230
0.881 0.761 0.907
0.114 0.227 0.109
0.246 0.491 0.238
0.763 0.525 0.757
0.930 0.860 0.704
0.164 0.329 0.911
0.646 0.291 0.110
0.873 0.747 0.385
0.299 0.598 0.569
0.002 0.003 0.983
0.365 0.730 0.888
0.845 0.690 0.098
0.704 0.409 0.421
0.123 0.245 0.617
0.066 0.132 0.283
0.546 0.092 0.776
0.449 0.898 0.251


CoRh (PBEsol, relaxed); volume = 12.05 A^3/atom; space group = Pmmm, No. 47; DOS at the Fermi energy = 2.572 states/eV/f.u.; DFT formation energy = 0.0661 eV per atom; calculated total energy = -7.87 eV/atom; mass density = 11.1 Mg/m³; total moment = 1.8 μB per formula unit
1.0
-2.479 0.603 0.500
-0.598 -3.377 1.106
1.942 2.013 7.195
Rh Co
3 3
direct
0.500 0.500 0.181
0.000 0.000 0.000
0.500 0.500 0.819
0.000 0.000 0.652
0.500 0.500 0.500
0.000 0.000 0.348


K2MnBeRe (PBEsol, relaxed); volume = 31.16 A^3/atom; space group = P4/mmm, No. 123; DOS at the Fermi energy = 4.510 states/eV/f.u.; DFT formation energy = 2.2685 eV per atom; calculated total energy = -3.60 eV/atom; mass density = 3.5 Mg/m³; total moment = 7.8 μB per formula unit
1.0
4.285 0.000 0.000
0.000 6.030 0.000
0.000 0.000 6.030
K Re Be Mn
2 1 1 1
direct
0.000 0.000 0.500
0.000 0.500 0.000
0.500 0.500 0.500
0.500 0.000 0.000
0.000 0.000 0.000


ScPRu2 (PBEsol, relaxed); volume = 14.49 A^3/atom; space group = P4mm, No. 99; DOS at the Fermi energy = 3.651 states/eV/f.u.; DFT formation energy = -0.3545 eV per atom; calculated total energy = -8.54 eV/atom; mass density = 8.0 Mg/m³; total moment = 0.0 μB per formula unit
1.0
-1.982 -2.092 0.274
1.018 -1.278 -2.390
4.413 -3.678 3.845
Sc Ru P
1 2 1
direct
0.000 0.000 0.504
0.000 0.000 0.968
0.500 0.500 0.234
0.500 0.500 0.793


HoTlPd (PBEsol, relaxed); volume = 21.16 A^3/atom; space group = P-62m, No. 189; DOS at the Fermi energy = 2.398 states/eV/f.u.; DFT formation energy = -0.6984 eV per atom; calculated total energy = -5.21 eV/atom; mass density = 12.4 Mg/m³; total moment = 0.0 μB per formula unit
1.0
-0.788 -3.428 1.382
6.000 0.510 4.685
-6.841 2.491 2.278
Pd Tl Ho
3 3 3
direct
0.000 0.667 0.333
0.000 0.333 0.667
0.500 0.000 0.000
0.000 0.266 0.000
0.000 0.000 0.266
0.000 0.734 0.734
0.500 0.000 0.595
0.500 0.405 0.405
0.500 0.595 0.000